No. 1
First-principles (SCAN) data for Ta3NbFe at its PBEsol-relaxed geometry, as listed in Alexandria.

The structure in extended XYZ format:
```
5
Lattice="-2.6363 2.0552 3.4094 -1.3767 -4.3076 1.5321 3.7353 -0.1371 2.9710" Properties=species:S:1:pos:R:3 pbc="T T T"
Ta -1.3182 1.0276 1.7047
Ta 1.8676 -0.0685 1.4855
Fe -0.1389 -1.1947 3.9562
Ta -0.6884 -2.1538 0.7661
Nb 0.0000 0.0000 0.0000
```

Calculated values
Total DFT energy (no corrections), eV/atom: -48.232
Total moment, μB per formula unit: 3.77
Energy of formation from the pure elements, meV/atom: 1970.1
Calculated density, Mg/m³: 10.6


No. 2
First-principles (SCAN) data for BeInTe2 at its PBEsol-relaxed geometry, as listed in Alexandria.

The structure in extended XYZ format:
```
4
Lattice="3.9901 0.0000 0.0000 1.9950 3.4555 0.0000 1.9950 1.1518 6.8485" Properties=species:S:1:pos:R:3 pbc="T T T"
Be 0.0000 0.0000 0.0000
Te 1.9950 1.1518 1.4024
In 3.9901 2.3037 3.4242
Te 5.9851 3.4555 5.4461
```

Calculated values
Total DFT energy (no corrections), eV/atom: -28.152
Total moment, μB per formula unit: 0.00
Calculated density, Mg/m³: 6.7
Offset from the most stable computed form, meV/atom: 0


No. 3
First-principles (SCAN) data for BaPrMn2O6 at its PBEsol-relaxed geometry, as listed in Alexandria.

The structure in extended XYZ format:
```
10
Lattice="3.8681 0.0000 0.0000 0.0000 3.8681 0.0000 0.0000 0.0000 7.7384" Properties=species:S:1:pos:R:3 pbc="T T T"
Ba 0.0000 0.0000 3.8692
O 0.0000 1.9341 5.9737
Mn 1.9341 1.9341 5.8267
O 1.9341 1.9341 0.0000
Mn 1.9341 1.9341 1.9117
O 1.9341 1.9341 3.8692
O 1.9341 0.0000 5.9737
O 0.0000 1.9341 1.7646
O 1.9341 0.0000 1.7646
Pr 0.0000 0.0000 0.0000
```

Calculated values
Total DFT energy (no corrections), eV/atom: -18.517
Total moment, μB per formula unit: 7.00
Calculated density, Mg/m³: 6.9


No. 4
First-principles (SCAN) data for In2TePb at its PBEsol-relaxed geometry, as listed in Alexandria.

The structure in extended XYZ format:
```
4
Lattice="3.9578 0.0000 0.0000 0.0000 3.9578 0.0000 0.0000 0.0000 7.0509" Properties=species:S:1:pos:R:3 pbc="T T T"
In 0.0000 0.0000 1.8391
Te 1.9789 1.9789 3.5254
Pb 1.9789 1.9789 0.0000
In 0.0000 0.0000 5.2118
```

Calculated values
Total DFT energy (no corrections), eV/atom: -44.962
Total moment, μB per formula unit: 0.00
Calculated density, Mg/m³: 8.5
Offset from the most stable computed form, meV/atom: 9


No. 5
First-principles (SCAN) data for Sr3LiRh at its PBEsol-relaxed geometry, as listed in Alexandria.

The structure in extended XYZ format:
```
5
Lattice="-3.2092 1.7364 4.4815 -4.6728 0.1332 -3.3978 -1.1242 -5.5104 1.3301" Properties=species:S:1:pos:R:3 pbc="T T T"
Li -4.5031 -1.8204 1.2069
Sr -2.3364 0.0666 -1.6989
Sr -0.5621 -2.7552 0.6650
Rh 0.0000 0.0000 0.0000
Sr -1.6046 0.8682 2.2407
```

Calculated values
Total DFT energy (no corrections), eV/atom: -20.719
Total moment, μB per formula unit: 0.11
Energy of formation from the pure elements, meV/atom: -121.7
Calculated density, Mg/m³: 3.2
Offset from the most stable computed form, meV/atom: 37


No. 6
First-principles (SCAN) data for InCu7 at its PBEsol-relaxed geometry, as listed in Alexandria.

The structure in extended XYZ format:
```
8
Lattice="-1.7655 4.7908 -1.0046 -2.0993 2.8519 3.8127 2.5403 4.1493 1.8460" Properties=species:S:1:pos:R:3 pbc="T T T"
Cu -0.6622 5.8960 2.3270
Cu -1.0497 1.4260 1.9064
Cu 0.3874 4.4700 0.4207
In 0.0000 0.0000 0.0000
Cu 1.2702 2.0746 0.9230
Cu -1.9324 3.8213 1.4040
Cu -0.8827 2.3954 -0.5023
Cu 0.2205 3.5006 2.8294
```

Calculated values
Total DFT energy (no corrections), eV/atom: -17.419
Total moment, μB per formula unit: 0.00
Energy of formation from the pure elements, meV/atom: 54.0
Calculated density, Mg/m³: 9.3


No. 7
First-principles (SCAN) data for Fe2Ir at its PBEsol-relaxed geometry, as listed in Alexandria.

The structure in extended XYZ format:
```
6
Lattice="4.6300 0.0000 0.0000 2.3150 4.0097 0.0000 2.3150 1.3366 3.7804" Properties=species:S:1:pos:R:3 pbc="T T T"
Fe 5.7875 3.3414 2.3627
Fe 3.4725 3.3414 2.3627
Ir 0.0000 0.0000 0.0000
Fe 4.6300 1.3366 2.3627
Ir 2.3150 1.3366 0.9451
Fe 4.6300 2.6731 0.4725
```

Calculated values
Total DFT energy (no corrections), eV/atom: -35.763
Total moment, μB per formula unit: 5.35
Energy of formation from the pure elements, meV/atom: 23.3
Calculated density, Mg/m³: 14.4


No. 8
First-principles (SCAN) data for KSnAuSe3 at its PBEsol-relaxed geometry, as listed in Alexandria.

The structure in extended XYZ format:
```
48
Lattice="8.1700 0.0000 0.0000 0.0000 8.1700 0.0000 0.0000 0.0000 19.9140" Properties=species:S:1:pos:R:3 pbc="T T T"
K 4.0850 4.0850 8.9014
Au 0.0525 2.5705 4.9810
Se 2.5734 1.5430 3.1488
Se 6.6271 5.5966 13.1058
Se 1.5430 2.5734 13.1058
K 4.0850 4.0850 18.8584
Sn 0.0000 4.0850 11.7483
Au 2.5705 0.0525 14.9380
Au 8.1176 5.5995 4.9810
K 0.0000 0.0000 17.8940
Au 5.5995 8.1176 14.9380
Au 2.5705 8.1176 4.9810
Se 5.5383 1.6094 6.8492
Se 1.6094 5.5383 16.8062
Se 2.6318 6.5606 6.8492
Au 5.5995 0.0525 4.9810
Se 6.5606 2.6318 16.8062
Se 6.8893 2.6598 9.9694
Se 2.6598 6.8893 0.0124
Se 5.5966 6.6271 3.1488
Se 5.5383 6.5606 16.8062
Sn 0.0000 4.0850 1.7912
Sn 4.0850 0.0000 11.7483
Se 6.5606 5.5383 6.8492
Se 5.5966 1.5430 13.1058
K 4.0850 4.0850 14.7351
K 4.0850 4.0850 4.7781
Se 6.6271 2.5734 3.1488
Se 1.6094 2.6318 6.8492
Se 5.5102 1.2808 0.0124
Sn 4.0850 0.0000 18.1598
K 0.0000 0.0000 11.8781
Se 6.8893 5.5102 0.0124
Au 0.0525 5.5995 14.9380
Sn 4.0850 0.0000 1.7912
K 0.0000 0.0000 1.9211
Se 2.6598 1.2808 9.9694
Se 2.6318 1.6094 16.8062
Se 1.2808 2.6598 0.0124
Se 1.2808 5.5102 9.9694
Sn 0.0000 4.0850 8.2028
Se 1.5430 5.5966 3.1488
Se 5.5102 6.8893 9.9694
K 0.0000 0.0000 7.9370
Au 8.1176 2.5705 14.9380
Se 2.5734 6.6271 13.1058
Sn 4.0850 0.0000 8.2028
Sn 0.0000 4.0850 18.1598
```

Calculated values
Total DFT energy (no corrections), eV/atom: -29.598
Total moment, μB per formula unit: 0.00
Calculated density, Mg/m³: 5.9


No. 9
First-principles (SCAN) data for TaTl4Br at its PBEsol-relaxed geometry, as listed in Alexandria.

The structure in extended XYZ format:
```
6
Lattice="6.0150 0.0000 0.0000 3.0075 5.2091 0.0000 3.0075 1.7364 4.9112" Properties=species:S:1:pos:R:3 pbc="T T T"
Tl 6.0150 3.4728 4.3011
Tl 6.0150 5.2127 1.8404
Br 9.0225 5.2091 3.6834
Tl 7.5218 2.6028 1.8404
Ta 0.0000 0.0000 0.0000
Tl 4.5081 2.6028 1.8404
```

Calculated values
Total DFT energy (no corrections), eV/atom: -61.753
Total moment, μB per formula unit: 1.52
Calculated density, Mg/m³: 11.6


No. 10
First-principles (SCAN) data for Y2OsCl at its PBEsol-relaxed geometry, as listed in Alexandria.

The structure in extended XYZ format:
```
4
Lattice="3.3346 0.0000 0.0000 0.0000 3.3909 0.0503 0.0000 -0.1245 7.9295" Properties=species:S:1:pos:R:3 pbc="T T T"
Y 0.0000 3.2911 6.3292
Cl 1.6673 -0.0622 3.9648
Y 0.0000 -0.0247 1.6506
Os 1.6673 1.6954 0.0251
```

Calculated values
Total DFT energy (no corrections), eV/atom: -34.981
Total moment, μB per formula unit: 0.00
Calculated density, Mg/m³: 7.5
Offset from the most stable computed form, meV/atom: 0


No. 11
First-principles (SCAN) data for SrCd at its PBEsol-relaxed geometry, as listed in Alexandria.

The structure in extended XYZ format:
```
2
Lattice="3.9711 0.0000 0.0000 0.0000 3.9711 0.0000 0.0000 0.0000 3.9711" Properties=species:S:1:pos:R:3 pbc="T T T"
Cd 1.9855 1.9855 1.9855
Sr 0.0000 0.0000 0.0000
```

Calculated values
Total DFT energy (no corrections), eV/atom: -26.746
Total moment, μB per formula unit: 0.00
Energy of formation from the pure elements, meV/atom: -401.2
Calculated density, Mg/m³: 5.3


No. 12
First-principles (SCAN) data for AsPb2 at its PBEsol-relaxed geometry, as listed in Alexandria.

The structure in extended XYZ format:
```
12
Lattice="7.0722 0.0000 0.0000 0.0000 7.0722 0.0000 0.0000 0.0000 7.0722" Properties=species:S:1:pos:R:3 pbc="T T T"
Pb 2.6107 0.9253 6.1468
As 3.5361 0.0000 3.5361
Pb 4.4614 6.1468 0.9253
Pb 4.4614 4.4614 4.4614
As 0.0000 3.5361 3.5361
Pb 0.9253 6.1468 2.6107
Pb 2.6107 2.6107 2.6107
Pb 6.1468 0.9253 4.4614
Pb 6.1468 2.6107 0.9253
As 0.0000 0.0000 0.0000
Pb 0.9253 4.4614 6.1468
As 3.5361 3.5361 0.0000
```

Calculated values
Total DFT energy (no corrections), eV/atom: -57.200
Total moment, μB per formula unit: 0.00
Energy of formation from the pure elements, meV/atom: 51.2
Calculated density, Mg/m³: 9.2
Offset from the most stable computed form, meV/atom: 29


Question: What is the total moment in the fourth record?
Answer: 0.00 μB per formula unit


Repeat the eighth record exactly.
First-principles (SCAN) data for KSnAuSe3 at its PBEsol-relaxed geometry, as listed in Alexandria.

The structure in extended XYZ format:
```
48
Lattice="8.1700 0.0000 0.0000 0.0000 8.1700 0.0000 0.0000 0.0000 19.9140" Properties=species:S:1:pos:R:3 pbc="T T T"
K 4.0850 4.0850 8.9014
Au 0.0525 2.5705 4.9810
Se 2.5734 1.5430 3.1488
Se 6.6271 5.5966 13.1058
Se 1.5430 2.5734 13.1058
K 4.0850 4.0850 18.8584
Sn 0.0000 4.0850 11.7483
Au 2.5705 0.0525 14.9380
Au 8.1176 5.5995 4.9810
K 0.0000 0.0000 17.8940
Au 5.5995 8.1176 14.9380
Au 2.5705 8.1176 4.9810
Se 5.5383 1.6094 6.8492
Se 1.6094 5.5383 16.8062
Se 2.6318 6.5606 6.8492
Au 5.5995 0.0525 4.9810
Se 6.5606 2.6318 16.8062
Se 6.8893 2.6598 9.9694
Se 2.6598 6.8893 0.0124
Se 5.5966 6.6271 3.1488
Se 5.5383 6.5606 16.8062
Sn 0.0000 4.0850 1.7912
Sn 4.0850 0.0000 11.7483
Se 6.5606 5.5383 6.8492
Se 5.5966 1.5430 13.1058
K 4.0850 4.0850 14.7351
K 4.0850 4.0850 4.7781
Se 6.6271 2.5734 3.1488
Se 1.6094 2.6318 6.8492
Se 5.5102 1.2808 0.0124
Sn 4.0850 0.0000 18.1598
K 0.0000 0.0000 11.8781
Se 6.8893 5.5102 0.0124
Au 0.0525 5.5995 14.9380
Sn 4.0850 0.0000 1.7912
K 0.0000 0.0000 1.9211
Se 2.6598 1.2808 9.9694
Se 2.6318 1.6094 16.8062
Se 1.2808 2.6598 0.0124
Se 1.2808 5.5102 9.9694
Sn 0.0000 4.0850 8.2028
Se 1.5430 5.5966 3.1488
Se 5.5102 6.8893 9.9694
K 0.0000 0.0000 7.9370
Au 8.1176 2.5705 14.9380
Se 2.5734 6.6271 13.1058
Sn 4.0850 0.0000 8.2028
Sn 0.0000 4.0850 18.1598
```

Calculated values
Total DFT energy (no corrections), eV/atom: -29.598
Total moment, μB per formula unit: 0.00
Calculated density, Mg/m³: 5.9


Question: Look up the total DFT energy (no corrections) of the third one.
Answer: -18.517 eV/atom


Question: What is the formula in the seventh record?
Answer: Fe2Ir